1.
Compound: CaPaSe4
Source: Alexandria
Functional: PBE
Structure: relaxed

extended XYZ file:
```
12
Lattice="6.360 0.000 0.000 0.000 6.774 0.000 0.000 0.000 7.552" Properties=species:S:1:pos:R:3 pbc="T T T"
Ca 0.000 0.000 0.000
Ca 3.180 3.387 0.000
Pa 0.000 0.000 3.776
Pa 3.180 3.387 3.776
Se 1.578 1.703 2.038
Se 1.578 1.703 5.514
Se 1.602 5.090 2.038
Se 1.602 5.090 5.514
Se 4.758 1.684 2.038
Se 4.758 1.684 5.514
Se 4.782 5.071 2.038
Se 4.782 5.071 5.514
```

Summary:
Polymorph energy (0 for the lowest one) (meV/atom): 12.5
Space group: No. 55
Mass density (g cm⁻³): 5.99
Uncorrected formation energy (meV per atom): -1236
Volume (Å³ per cell): 325.4
Total DFT energy (no corrections) (eV per atom): -5.476

2.
Compound: Be2TcAu
Source: Alexandria
Functional: PBE
Structure: relaxed

extended XYZ file:
```
4
Lattice="-1.534 1.780 4.546 1.534 -1.780 4.546 1.534 1.780 -4.546" Properties=species:S:1:pos:R:3 pbc="T T T"
Be 0.000 0.000 0.000
Be 0.000 1.780 2.688
Tc 1.534 0.000 2.777
Au 0.000 0.000 5.136
```

Summary:
Polymorph energy (0 for the lowest one) (meV/atom): 196.7
Space group: No. 44
Mass density (g cm⁻³): 10.47
Volume (Å³ per cell): 49.6
Total DFT energy (no corrections) (eV per atom): -5.188
ΔE_f (eV/atom): 0.09

3.
Compound: GeRuS2N
Source: Alexandria
Functional: PBE
Structure: relaxed

extended XYZ file:
```
5
Lattice="4.841 0.000 0.000 0.000 4.841 0.000 0.000 0.000 3.666" Properties=species:S:1:pos:R:3 pbc="T T T"
Ge 0.000 0.000 0.000
Ru 2.421 2.421 1.833
S 0.000 2.421 1.833
S 2.421 0.000 1.833
N 2.421 2.421 0.000
```

Summary:
Polymorph energy (0 for the lowest one) (meV/atom): 0.0
Space group: No. 123
Mass density (g cm⁻³): 4.87
Uncorrected formation energy (meV per atom): 395
Volume (Å³ per cell): 85.9
Total DFT energy (no corrections) (eV per atom): -5.699

4.
Compound: PuNiAs2Rh2
Source: Alexandria
Functional: PBE
Structure: relaxed

extended XYZ file:
```
6
Lattice="-1.995 1.995 7.292 1.995 -1.995 7.292 1.995 1.995 -7.292" Properties=species:S:1:pos:R:3 pbc="T T T"
Pu 0.000 0.000 0.000
Ni 0.000 0.000 7.292
As 0.000 0.000 5.064
As 0.000 0.000 9.520
Rh 1.995 0.000 3.646
Rh 0.000 1.995 3.646
```

Summary:
Space group: No. 139
Mass density (g cm⁻³): 9.42
Volume (Å³ per cell): 116.0
Total DFT energy (no corrections) (eV per atom): -7.770
ΔE_f (eV/atom): -0.42